No. 1
First-principles (PBE) data for a relaxed Er3Ni crystal, as listed in the Alexandria database.

Values from the calculation:
formation energy	-0.182	eV per atom
crystal system	orthorhombic
N(E_F)	4.6	states/eV/f.u.
E_tot	-5.049	eV per atom

Structure (CIF):
```
data_Er3Ni
_chemical_formula_sum 'Er6 Ni2'
_symmetry_space_group_name_H-M 'P 1'
_symmetry_Int_Tables_number 1
_symmetry_space_group_name_Hall 'P 1'
_cell_length_a 3.534
_cell_length_b 5.228
_cell_length_c 10.758
_cell_angle_alpha 90.00
_cell_angle_beta 90.00
_cell_angle_gamma 90.00
loop_
_atom_site_label
_atom_site_type_symbol
_atom_site_fract_x
_atom_site_fract_y
_atom_site_fract_z
Er1 Er 0.000 0.000 0.000
Er2 Er 0.000 0.500 0.195
Er3 Er 0.000 0.500 0.805
Er4 Er 0.500 0.000 0.305
Er5 Er 0.500 0.000 0.695
Er6 Er 0.500 0.500 0.500
Ni1 Ni 0.000 0.000 0.500
Ni2 Ni 0.500 0.500 0.000
```

No. 2
First-principles (PBE) data for a relaxed TaMn2Au crystal, as listed in the Alexandria database.

Values from the calculation:
distance to the lowest polymorph of the same formula	0.015	eV/atom
formation energy	0.015	eV per atom
crystal system	tetragonal
N(E_F)	2.5	states/eV/f.u.
E_tot	-8.352	eV per atom

Structure (CIF):
```
data_TaMn2Au
_chemical_formula_sum 'Ta2 Mn4 Au2'
_symmetry_space_group_name_H-M 'P 1'
_symmetry_Int_Tables_number 1
_symmetry_space_group_name_Hall 'P 1'
_cell_length_a 3.804
_cell_length_b 3.804
_cell_length_c 8.464
_cell_angle_alpha 90.00
_cell_angle_beta 90.00
_cell_angle_gamma 90.00
loop_
_atom_site_label
_atom_site_type_symbol
_atom_site_fract_x
_atom_site_fract_y
_atom_site_fract_z
Ta1 Ta 0.000 0.000 0.000
Ta2 Ta 0.500 0.500 0.500
Mn1 Mn 0.000 0.000 0.500
Mn2 Mn 0.000 0.500 0.250
Mn3 Mn 0.500 0.000 0.750
Mn4 Mn 0.500 0.500 0.000
Au1 Au 0.000 0.500 0.750
Au2 Au 0.500 0.000 0.250
```

No. 3
First-principles (PBE) data for a relaxed NbGe2W crystal, as listed in the Alexandria database.

Values from the calculation:
distance to the lowest polymorph of the same formula	0.239	eV/atom
formation energy	0.356	eV per atom
crystal system	monoclinic
N(E_F)	3.2	states/eV/f.u.
E_tot	-7.708	eV per atom

Structure (CIF):
```
data_NbGe2W
_chemical_formula_sum 'Nb2 Ge4 W2'
_symmetry_space_group_name_H-M 'P 1'
_symmetry_Int_Tables_number 1
_symmetry_space_group_name_Hall 'P 1'
_cell_length_a 6.395
_cell_length_b 3.796
_cell_length_c 6.252
_cell_angle_alpha 90.00
_cell_angle_beta 111.05
_cell_angle_gamma 90.00
loop_
_atom_site_label
_atom_site_type_symbol
_atom_site_fract_x
_atom_site_fract_y
_atom_site_fract_z
Nb1 Nb 0.000 0.000 0.000
Nb2 Nb 0.500 0.500 0.000
Ge1 Ge 0.246 0.000 0.740
Ge2 Ge 0.254 0.500 0.260
Ge3 Ge 0.746 0.500 0.740
Ge4 Ge 0.754 0.000 0.260
W1 W 0.000 0.500 0.500
W2 W 0.500 0.000 0.500
```